CoTe2Pt | GGA-PBEsol | optimized geometry

a b c (Å): 6.7444 6.7444 6.7444
angles (deg): 33.30 33.30 33.30
Last column: nearest neighbours and their distance in Å.
Sites, in units of the cell vectors:
Co (0.0000, 0.0000, 0.0000)  3 Te 2.50, 3 Pt 2.50
Te (0.2745, 0.2745, 0.2745)  3 Co 2.50
Te (0.4651, 0.4651, 0.4651)  3 Pt 2.62
Pt (0.7261, 0.7261, 0.7261)  3 Co 2.50, 3 Te 2.62

Results
raw formation energy	-0.1166	eV per atom
SG	R3m, No. 160
total moment	0.005	μB/f.u.
crystal system	trigonal
DOS(E_F)	3.02	states/eV per cell
final energy	-5.555	eV/atom
V	20.58	A^3/atom